The following is a PBE calculation of a geometry-optimized Tl5SbS4Cl2 structure, from Alexandria via LeMat-Bulk.

Space group: Amm2
Final energy: -3.533 eV per atom
Total magnetization: 0.00 μB per cell
Formation energy (no corrections): -0.52 eV/atom

```
12
Lattice="9.9172 0.0000 0.0000 0.0000 5.0416 3.9799 0.0000 -5.0416 3.9799" Properties=species:S:1:pos:R:3 pbc="T T T"
Tl 0.0000 0.0000 0.0000
Tl 2.5521 -1.9329 3.8448
Tl 2.5521 1.9329 3.8448
Tl 7.3651 -1.9329 3.8448
Tl 7.3651 1.9329 3.8448
Sb 4.9586 0.0000 7.4552
S 2.9885 0.0000 0.8136
S 4.9586 -1.9545 6.1246
S 4.9586 1.9545 6.1246
S 6.9287 0.0000 0.8136
Cl 0.0000 -2.3360 5.9287
Cl 0.0000 2.3360 5.9287
```